1.
Here is a relaxed SrCaSc2 crystal from Alexandria. Energies are from PBE-GGA.

Cell and atoms, written as CIF:
```
data_SrCaSc2
_cell_length_a 5.233
_cell_length_b 5.233
_cell_length_c 9.856
_cell_angle_alpha 90.00
_cell_angle_beta 90.00
_cell_angle_gamma 90.00
_symmetry_space_group_name_H-M 'I -4 m 2'
_symmetry_Int_Tables_number 119
_symmetry_space_group_name_Hall 'I -4 -2'
loop_
_atom_site_label
_atom_site_fract_x
_atom_site_fract_y
_atom_site_fract_z
Sr1 0.000 0.000 0.000
Ca1 0.000 0.500 0.750
Sc1 0.000 0.000 0.500
Sc2 0.000 0.500 0.250
```

Calculated total energy, eV per cell: -30.03
E_form, meV/atom: 332
ΔE to the lowest computed polymorph, eV per formula unit: 0.67

---

2.
Here is a relaxed Th2IBr8 crystal from Alexandria. Energies are from PBE-GGA.

Cell and atoms, written as CIF:
```
data_Th2IBr8
_cell_length_a 9.672
_cell_length_b 12.958
_cell_length_c 9.991
_cell_angle_alpha 90.00
_cell_angle_beta 94.08
_cell_angle_gamma 90.00
_symmetry_space_group_name_H-M 'C 1 2/m 1'
_symmetry_Int_Tables_number 12
loop_
_symmetry_equiv_pos_as_xyz
'x,y,z'
'-x,-y,-z'
'-x,y,-z'
'x,-y,z'
'x+1/2,y+1/2,z'
'-x+1/2,-y+1/2,-z'
'-x+1/2,y+1/2,-z'
'x+1/2,-y+1/2,z'
loop_
_atom_site_label
_atom_site_fract_x
_atom_site_fract_y
_atom_site_fract_z
Th1 0.123 0.000 0.311
I1 0.000 0.000 0.000
Br1 0.078 0.203 0.232
Br2 0.100 0.500 0.714
Br3 0.171 0.000 0.601
```

Calculated total energy, eV per cell: -90.55
E_form (uncorrected), eV per atom: -1.41

---

3.
Here is a relaxed Li2HfMg2 crystal from Alexandria. Energies are from PBE-GGA.

Cell and atoms, written as CIF:
```
data_Li2HfMg2
_cell_length_a 8.146
_cell_length_b 8.146
_cell_length_c 2.968
_cell_angle_alpha 90.00
_cell_angle_beta 90.00
_cell_angle_gamma 90.00
_symmetry_space_group_name_H-M 'P 4/m b m'
_symmetry_Int_Tables_number 127
_symmetry_space_group_name_Hall '-P 4 2ab'
loop_
_atom_site_label
_atom_site_fract_x
_atom_site_fract_y
_atom_site_fract_z
Li1 0.122 0.378 0.000
Hf1 0.000 0.000 0.000
Mg1 0.178 0.678 0.500
```

Calculated total energy, eV per cell: -32.43
E_form, meV/atom: 152

---

4.
Here is a relaxed Be3SbPt crystal from Alexandria. Energies are from PBE-GGA.

Cell and atoms, written as CIF:
```
data_Be3SbPt
_cell_length_a 4.490
_cell_length_b 4.490
_cell_length_c 4.490
_cell_angle_alpha 90.00
_cell_angle_beta 90.00
_cell_angle_gamma 90.00
_symmetry_space_group_name_H-M 'P m -3 m'
_symmetry_Int_Tables_number 221
_symmetry_space_group_name_Hall '-P 4 2 3'
loop_
_atom_site_label
_atom_site_fract_x
_atom_site_fract_y
_atom_site_fract_z
Be1 0.000 0.000 0.500
Sb1 0.000 0.000 0.000
Pt1 0.500 0.500 0.500
```

Calculated total energy, eV per cell: -14.99
ΔE to the lowest computed polymorph, eV per formula unit: 5.17
E_form (uncorrected), eV per atom: 1.27

---

5.
Here is a relaxed DyThCoNi crystal from Alexandria. Energies are from PBE-GGA.

Cell and atoms, written as CIF:
```
data_DyThCoNi
_cell_length_a 4.390
_cell_length_b 3.688
_cell_length_c 10.024
_cell_angle_alpha 90.00
_cell_angle_beta 90.00
_cell_angle_gamma 90.00
_symmetry_space_group_name_H-M 'A m m 2'
_symmetry_Int_Tables_number 38
loop_
_symmetry_equiv_pos_as_xyz
'x,y,z'
'-x,-y,z'
'-x,y,z'
'x,-y,z'
'x,y+1/2,z+1/2'
'-x,-y+1/2,z+1/2'
'-x,y+1/2,z+1/2'
'x,-y+1/2,z+1/2'
loop_
_atom_site_label
_atom_site_fract_x
_atom_site_fract_y
_atom_site_fract_z
Dy1 0.000 0.000 0.000
Th1 0.500 0.000 0.724
Co1 0.500 0.000 0.442
Ni1 0.000 0.000 0.285
```

Calculated total energy, eV per cell: -52.62
E_form, meV/atom: -350
ΔE to the lowest computed polymorph, eV per formula unit: 0.00

---

6.
Here is a relaxed TaIn2B crystal from Alexandria. Energies are from PBE-GGA.

Cell and atoms, written as CIF:
```
data_TaIn2B
_cell_length_a 8.029
_cell_length_b 8.029
_cell_length_c 4.716
_cell_angle_alpha 90.00
_cell_angle_beta 90.00
_cell_angle_gamma 90.00
_symmetry_space_group_name_H-M 'I -4 2 d'
_symmetry_Int_Tables_number 122
_symmetry_space_group_name_Hall 'I -4 2bw'
loop_
_atom_site_label
_atom_site_fract_x
_atom_site_fract_y
_atom_site_fract_z
Ta1 0.000 0.000 0.000
In1 0.148 0.250 0.625
B1 0.000 0.000 0.500
```

Calculated total energy, eV per cell: -84.14
E_form, meV/atom: 743

---

7.
Here is a relaxed Ce3HgIr crystal from Alexandria. Energies are from PBE-GGA.

Cell and atoms, written as CIF:
```
data_Ce3HgIr
_cell_length_a 5.558
_cell_length_b 6.409
_cell_length_c 8.707
_cell_angle_alpha 107.16
_cell_angle_beta 90.06
_cell_angle_gamma 115.46
_symmetry_space_group_name_H-M 'P -1'
_symmetry_Int_Tables_number 2
loop_
_symmetry_equiv_pos_as_xyz
'x,y,z'
'-x,-y,-z'
loop_
_atom_site_label
_atom_site_fract_x
_atom_site_fract_y
_atom_site_fract_z
Ce1 0.127 0.254 0.119
Ce2 0.136 0.273 0.783
Ce3 0.366 0.735 0.549
Hg1 0.412 0.825 0.092
Ir1 0.110 0.216 0.441
```

Calculated total energy, eV per cell: -58.02
E_form, meV/atom: -409
ΔE to the lowest computed polymorph, eV per formula unit: 0.00

---

8.
Here is a relaxed Tl2NiHgPb crystal from Alexandria. Energies are from PBE-GGA.

Cell and atoms, written as CIF:
```
data_Tl2NiHgPb
_cell_length_a 5.130
_cell_length_b 5.130
_cell_length_c 5.268
_cell_angle_alpha 90.00
_cell_angle_beta 90.00
_cell_angle_gamma 90.00
_symmetry_space_group_name_H-M 'P 4/m m m'
_symmetry_Int_Tables_number 123
_symmetry_space_group_name_Hall '-P 4 2'
loop_
_atom_site_label
_atom_site_fract_x
_atom_site_fract_y
_atom_site_fract_z
Tl1 0.000 0.500 0.000
Ni1 0.000 0.000 0.000
Hg1 0.500 0.500 0.500
Pb1 0.000 0.000 0.500
```

Calculated total energy, eV per cell: -14.06
E_form, meV/atom: 93
ΔE to the lowest computed polymorph, eV per formula unit: 0.00

---

Number 1: D(E_F) 15.57 states/eV per cell. Number 2: D(E_F) 0.65 states/eV per cell. Number 3: D(E_F) 8.18 states/eV per cell. Number 4: D(E_F) 2.31 states/eV per cell. Number 5: D(E_F) 5.62 states/eV per cell. Number 6: D(E_F) 11.23 states/eV per cell. Number 7: D(E_F) 26.79 states/eV per cell. Number 8: D(E_F) 3.61 states/eV per cell.